1) Entry from OQMD via LeMat-Bulk: LuAuSeO after structural relaxation (PBE-GGA).

```
LuAuSeO
1.0
3.872 0.000 0.000
0.000 3.872 0.000
0.000 0.000 9.468
Au Lu Se O
2 2 2 2
Direct
0.250 0.750 0.500
0.750 0.250 0.500
0.750 0.750 0.888
0.250 0.250 0.112
0.250 0.250 0.722
0.750 0.750 0.278
0.750 0.250 0.000
0.250 0.750 0.000
```

Calculated values
- V (Å³/f.u.) = 71.0

***

2) Entry from OQMD via LeMat-Bulk: LuAuSeO after structural relaxation (PBE-GGA).

```
LuAuSeO
1.0
0.468 3.867 0.242
-1.480 -0.054 3.611
17.602 -2.580 7.174
Se Lu O Au
4 4 4 4
Direct
0.464 0.033 0.363
0.967 0.536 0.637
0.964 0.533 0.137
0.467 0.036 0.863
0.965 0.535 0.945
0.965 0.535 0.445
0.465 0.035 0.555
0.465 0.035 0.055
0.465 0.535 0.000
0.465 0.535 0.500
0.965 0.035 0.000
0.965 0.035 0.500
0.220 0.784 0.750
0.216 0.780 0.250
0.720 0.284 0.750
0.716 0.280 0.250
```

Calculated values
- V (Å³/f.u.) = 73.1

***

It turns out 2) is the most stable, with the second structure 0.077 eV/atom higher.